The following is a PBE calculation of LuNi2Te2 after structural relaxation, from OQMD.

Calculated values
Space-group type: No. 139
E: -4.8082 eV per atom
Size of the total moment: 0.0 μB/cell

a = 3.837 Å, b = 3.837 Å, c = 13.393 Å
α = 90.00°, β = 90.00°, γ = 90.00°
Positions (direct):
Lu (0.000, 0.000, 0.000)
Lu (0.500, 0.500, 0.500)
Ni (0.000, 0.500, 0.250)
Ni (0.000, 0.500, 0.750)
Ni (0.500, 0.000, 0.250)
Ni (0.500, 0.000, 0.750)
Te (0.000, 0.000, 0.375)
Te (0.000, 0.000, 0.625)
Te (0.500, 0.500, 0.125)
Te (0.500, 0.500, 0.875)

=====

The following is a PBE calculation of LuNi2Te after structural relaxation, from OQMD.

Calculated values
Space-group type: No. 31
E: -5.1678 eV per atom
Size of the total moment: 0.0 μB/cell

a = 4.123 Å, b = 6.228 Å, c = 5.388 Å
α = 90.00°, β = 90.00°, γ = 90.00°
Positions (direct):
Lu (0.000, 0.080, 0.000)
Lu (0.500, 0.920, 0.500)
Ni (0.000, 0.247, 0.502)
Ni (0.000, 0.678, 0.279)
Ni (0.500, 0.322, 0.779)
Ni (0.500, 0.753, 0.002)
Te (0.000, 0.610, 0.772)
Te (0.500, 0.390, 0.272)